# 1
VASP calculation (PBE) on a relaxed SiMoPt2 crystal.

The structure belongs to space group Cm (No. 8); the cell edges are 9.373, 2.760 and 4.959 Å and the angles 90.00°, 109.10° and 90.00°. The distinct sites, in fractional coordinates, are Si at (0.000, 0.000, 0.000), Mo at (0.210, 0.500, 0.351), Pt at (0.269, 0.000, 0.880) and Pt at (0.477, 0.000, 0.558).

The value obtained for the calculated total energy is -0.5467 Ry per atom. The density of states at the Fermi level comes out at 2.1 states/eV/f.u. For the density, the calculation gives 14.1 g/cm3. The calculation puts the formation energy without anion corrections at -0.354 eV/atom. The volume comes out at 121 Å³/cell.



# 2
VASP calculation (PBE) on a relaxed Ta2SiAg crystal.

The structure belongs to space group P4/mmm (No. 123); the cell edges are 2.884, 2.884 and 7.956 Å and the angles 90.00°, 90.00° and 90.00°. The distinct sites, in fractional coordinates, are Ta at (0.000, 0.000, 0.222), Si at (0.500, 0.500, 0.000) and Ag at (0.500, 0.500, 0.500).

The value obtained for the calculated total energy is -0.5856 Ry per atom. The density of states at the Fermi level comes out at 2.5 states/eV/f.u. For the density, the calculation gives 12.5 g/cm3. The calculation puts the formation energy without anion corrections at 0.028 eV/atom. The volume comes out at 66 Å³/cell.



Q: Which value of volume does entry 1 give?
A: 121 Å³/cell



What did the second record say?
VASP calculation (PBE) on a relaxed Ta2SiAg crystal.

The structure belongs to space group P4/mmm (No. 123); the cell edges are 2.884, 2.884 and 7.956 Å and the angles 90.00°, 90.00° and 90.00°. The distinct sites, in fractional coordinates, are Ta at (0.000, 0.000, 0.222), Si at (0.500, 0.500, 0.000) and Ag at (0.500, 0.500, 0.500).

The value obtained for the calculated total energy is -0.5856 Ry per atom. The density of states at the Fermi level comes out at 2.5 states/eV/f.u. For the density, the calculation gives 12.5 g/cm3. The calculation puts the formation energy without anion corrections at 0.028 eV/atom. The volume comes out at 66 Å³/cell.



Q: Among the records above, which one has the highest calculated total energy?
A: SiMoPt2